Entry 1:
Here is an optimized crystal structure of Cs2NiPdF6 from Alexandria. Energies are from GGA+U.

a b c (Å): 8.6980 8.6980 8.6980
angles (deg): 90.00 90.00 90.00
With the nearest neighbours (Å) after each atom.
Space group Fm-3m (No. 225)
Symmetry-distinct sites (fractional):
Cs 0.2500 0.2500 0.2500  12 F 3.08
Ni 0.0000 0.0000 0.0000  6 F 2.09
Pd 0.0000 0.0000 0.5000  6 F 2.26
F 0.0000 0.0000 0.2401  1 Ni 2.09, 1 Pd 2.26

Calculated values
Its total energy is -4.150 eV per atom. For the total magnetization, the calculation gives 16.0 μB per cell.

Entry 2:
Here is an optimized crystal structure of CsNiPdF5 from Alexandria. Energies are from GGA+U.

a b c (Å): 6.6314 7.5913 10.7039
angles (deg): 90.00 90.00 90.00
With the nearest neighbours (Å) after each atom.
Space group Imma (No. 74)
Symmetry-distinct sites (fractional):
Cs 0.0000 0.2500 0.1197  5 F 2.98-3.33
Ni 0.0000 0.0000 0.5000  6 F 2.04
Pd 0.2500 0.2500 0.7500  4 F 2.00
F 0.0000 0.2500 0.4308  2 Ni 2.04
F 0.2280 0.0622 0.6197  1 Pd 2.00, 1 Ni 2.04

Calculated values
Its total energy is -4.262 eV per atom. For the total magnetization, the calculation gives 8.0 μB per cell.

Entry 3:
Here is an optimized crystal structure of CsNiPtF6 from Alexandria. Energies are from GGA+U.

a b c (Å): 5.5961 9.4674 6.5552
angles (deg): 90.00 90.51 90.00
With the nearest neighbours (Å) after each atom.
Space group C2 (No. 5)
Symmetry-distinct sites (fractional):
Cs 0.0000 0.0000 0.0000  6 F 2.94-2.99
Ni 0.0000 0.6657 0.5000  6 F 1.97-2.09
Pt 0.0000 0.3306 0.5000  4 F 2.01-2.02
F 0.1369 0.4927 0.6618  1 Pt 2.01, 1 Ni 2.09
F 0.1601 0.7986 0.6890  1 Ni 1.97
F 0.1782 0.1801 0.6584  1 Pt 2.02, 1 Ni 2.09

Calculated values
Its total energy is -4.186 eV per atom. For the total magnetization, the calculation gives 6.0 μB per cell.

Entry 4:
Here is an optimized crystal structure of Cs2NiPtF6 from Alexandria. Energies are from GGA+U.

a b c (Å): 6.1828 6.1828 8.7586
angles (deg): 90.00 90.00 90.00
With the nearest neighbours (Å) after each atom.
Space group I4/mmm (No. 139)
Symmetry-distinct sites (fractional):
Cs 0.0000 0.5000 0.2500  12 F 3.09-3.10
Ni 0.0000 0.0000 0.0000  6 F 2.08
Pt 0.0000 0.0000 0.5000  6 F 2.29-2.30
F 0.0000 0.0000 0.2374  1 Ni 2.08, 1 Pt 2.30
F 0.2383 0.2383 0.0000  1 Ni 2.08, 1 Pt 2.29

Calculated values
Its total energy is -4.104 eV per atom. For the total magnetization, the calculation gives 8.0 μB per cell.

Entry 5:
Here is an optimized crystal structure of CsRb2NiF6 from Alexandria. Energies are from GGA+U.

a b c (Å): 5.9803 9.4453 7.4067
angles (deg): 90.00 90.00 90.00
With the nearest neighbours (Å) after each atom.
Space group Pmmn (No. 59, origin choice 2)
Symmetry-distinct sites (fractional):
Cs 0.2500 0.2500 0.1780  6 F 2.87-2.98
Rb 0.2500 0.0325 0.6757  7 F 2.76-2.99
Ni 0.2500 0.7500 0.3119  6 F 1.84-2.04
F 0.0284 0.7500 0.1387  1 Ni 1.84
F 0.0338 0.7500 0.4920  1 Ni 1.86
F 0.2500 0.5345 0.3125  1 Ni 2.04

Calculated values
For the excess energy over the best structure of this formula in the dataset, the calculation gives 0 meV/atom. For the total magnetization, the calculation gives 2.0 μB per cell.

Entry 6:
Here is an optimized crystal structure of CsRb2Ni3F12 from Alexandria. Energies are from GGA+U.

a b c (Å): 7.3588 7.3588 18.5622
angles (deg): 90.00 90.00 120.00
With the nearest neighbours (Å) after each atom.
Space group R-3m (No. 166, hexagonal axes)
Symmetry-distinct sites (fractional):
Cs 0.0000 0.0000 0.0000  12 F 2.89-3.19
Rb 0.0000 0.0000 0.3860  6 F 2.88-3.11
Ni 0.0000 0.5000 0.5000  6 F 1.79-1.97
F 0.0671 0.5335 0.4061  1 Ni 1.79
F 0.0716 0.5358 0.8132  2 Ni 1.97

Calculated values
Its total energy is -3.944 eV per atom. For the total magnetization, the calculation gives 8.9 μB per cell.